# Mo5Se | the Alexandria database | PBE | relaxed
data_Mo5Se
_cell_length_a 9.9849
_cell_length_b 3.1724
_cell_length_c 6.2998
_cell_angle_alpha 90.00
_cell_angle_beta 108.46
_cell_angle_gamma 90.00
_symmetry_space_group_name_H-M 'C 1 2/m 1'
_symmetry_Int_Tables_number 12
_symmetry_space_group_name_Hall '-C 2y'
loop_
_atom_site_label
_atom_site_fract_x
_atom_site_fract_y
_atom_site_fract_z
Mo1 0.0000 0.0000 0.0000
Mo2 0.1659 0.5000 0.3329
Mo3 0.1680 0.5000 0.8358
Se1 0.0000 0.0000 0.5000
# polymorph energy (0 for the lowest one): 0.0 kJ/mol of atoms
# formation energy without anion corrections: 120 meV per atom
# total DFT energy (no corrections): -9.49 eV/atom

***

# Mo3Se4 | the Alexandria database | PBE | relaxed
data_Mo3Se4
_cell_length_a 3.2956
_cell_length_b 9.0614
_cell_length_c 11.2774
_cell_angle_alpha 109.63
_cell_angle_beta 98.25
_cell_angle_gamma 90.20
_symmetry_space_group_name_H-M 'P -1'
_symmetry_Int_Tables_number 2
_symmetry_space_group_name_Hall '-P 1'
loop_
_atom_site_label
_atom_site_fract_x
_atom_site_fract_y
_atom_site_fract_z
Mo1 0.0084 0.1751 0.0137
Mo2 0.2126 0.3831 0.4260
Mo3 0.4268 0.9703 0.8513
Se1 0.1650 0.0706 0.3349
Se2 0.2131 0.6607 0.4219
Se3 0.3913 0.6690 0.7842
Se4 0.4464 0.2707 0.8854
# polymorph energy (0 for the lowest one): 13.7 kJ/mol of atoms
# formation energy without anion corrections: -385 meV per atom
# total DFT energy (no corrections): -7.02 eV/atom

***

# Mo9Se11 | the Alexandria database | PBE | relaxed
data_Mo9Se11
_cell_length_a 12.0956
_cell_length_b 13.3311
_cell_length_c 11.1677
_cell_angle_alpha 90.00
_cell_angle_beta 90.00
_cell_angle_gamma 90.00
_symmetry_space_group_name_H-M 'C m c m'
_symmetry_Int_Tables_number 63
_symmetry_space_group_name_Hall '-C 2c 2'
loop_
_atom_site_label
_atom_site_fract_x
_atom_site_fract_y
_atom_site_fract_z
Mo1 0.0000 0.1468 0.2500
Mo2 0.0000 0.3224 0.1283
Mo3 0.1896 0.3827 0.2500
Mo4 0.1910 0.2092 0.1297
Se1 0.0000 0.1537 0.0174
Se2 0.0000 0.4889 0.2500
Se3 0.1427 0.2300 0.7500
Se4 0.1738 0.3823 0.0180
Se5 0.1771 0.0424 0.2500
# polymorph energy (0 for the lowest one): 1.5 kJ/mol of atoms
# formation energy without anion corrections: -486 meV per atom
# total DFT energy (no corrections): -7.28 eV/atom

***

# Mo3Se4 | the Alexandria database | PBE | relaxed
data_Mo3Se4
_cell_length_a 9.6584
_cell_length_b 9.6584
_cell_length_c 11.3811
_cell_angle_alpha 90.00
_cell_angle_beta 90.00
_cell_angle_gamma 120.00
_symmetry_space_group_name_H-M 'R -3'
_symmetry_Int_Tables_number 148
_symmetry_space_group_name_Hall '-R 3'
loop_
_atom_site_label
_atom_site_fract_x
_atom_site_fract_y
_atom_site_fract_z
Mo1 0.0178 0.8487 0.3959
Se1 0.0000 0.0000 0.2176
Se2 0.0075 0.6322 0.2485
# polymorph energy (0 for the lowest one): 0.0 kJ/mol of atoms
# formation energy without anion corrections: -527 meV per atom
# total DFT energy (no corrections): -7.16 eV/atom

***

# Mo4Se | the Alexandria database | PBE | relaxed
data_Mo4Se
_cell_length_a 4.5426
_cell_length_b 4.5426
_cell_length_c 4.5426
_cell_angle_alpha 90.00
_cell_angle_beta 90.00
_cell_angle_gamma 90.00
_symmetry_space_group_name_H-M 'P m -3 m'
_symmetry_Int_Tables_number 221
_symmetry_space_group_name_Hall '-P 4 2 3'
loop_
_atom_site_label
_atom_site_fract_x
_atom_site_fract_y
_atom_site_fract_z
Mo1 0.0000 0.0000 0.0000
Mo2 0.0000 0.5000 0.5000
Se1 0.5000 0.5000 0.5000
# polymorph energy (0 for the lowest one): 110.4 kJ/mol of atoms
# formation energy without anion corrections: 1298 meV per atom
# total DFT energy (no corrections): -8.06 eV/atom

***

# Mo8Se | the Alexandria database | PBE | relaxed
data_Mo8Se
_cell_length_a 8.0520
_cell_length_b 8.0520
_cell_length_c 4.4353
_cell_angle_alpha 90.00
_cell_angle_beta 90.00
_cell_angle_gamma 90.00
_symmetry_space_group_name_H-M 'I 4/m m m'
_symmetry_Int_Tables_number 139
_symmetry_space_group_name_Hall '-I 4 2'
loop_
_atom_site_label
_atom_site_fract_x
_atom_site_fract_y
_atom_site_fract_z
Mo1 0.0000 0.3323 0.0000
Mo2 0.1674 0.1674 0.5000
Se1 0.0000 0.0000 0.0000
# formation energy without anion corrections: 313 meV per atom
# total DFT energy (no corrections): -9.70 eV/atom

***

# Mo5Se | the Alexandria database | PBE | relaxed
data_Mo5Se
_cell_length_a 7.4090
_cell_length_b 7.4090
_cell_length_c 7.4090
_cell_angle_alpha 90.00
_cell_angle_beta 90.00
_cell_angle_gamma 90.00
_symmetry_space_group_name_H-M 'F -4 3 m'
_symmetry_Int_Tables_number 216
_symmetry_space_group_name_Hall 'F -4 2 3'
loop_
_atom_site_label
_atom_site_fract_x
_atom_site_fract_y
_atom_site_fract_z
Mo1 0.0000 0.0000 0.0000
Mo2 0.1247 0.1247 0.3753
Se1 0.2500 0.2500 0.7500
# polymorph energy (0 for the lowest one): 45.4 kJ/mol of atoms
# formation energy without anion corrections: 591 meV per atom
# total DFT energy (no corrections): -9.02 eV/atom

***

# Mo4Se | the Alexandria database | PBE | relaxed
data_Mo4Se
_cell_length_a 5.6965
_cell_length_b 5.6965
_cell_length_c 5.6965
_cell_angle_alpha 90.00
_cell_angle_beta 90.00
_cell_angle_gamma 90.00
_symmetry_space_group_name_H-M 'I m -3 m'
_symmetry_Int_Tables_number 229
_symmetry_space_group_name_Hall '-I 4 2 3'
loop_
_atom_site_label
_atom_site_fract_x
_atom_site_fract_y
_atom_site_fract_z
Mo1 0.2500 0.2500 0.2500
Se1 0.0000 0.0000 0.0000
# polymorph energy (0 for the lowest one): 97.9 kJ/mol of atoms
# formation energy without anion corrections: 1168 meV per atom
# total DFT energy (no corrections): -8.19 eV/atom

***

# Mo5Se | the Alexandria database | PBE | relaxed
data_Mo5Se
_cell_length_a 4.4423
_cell_length_b 9.5900
_cell_length_c 4.4385
_cell_angle_alpha 90.00
_cell_angle_beta 90.00
_cell_angle_gamma 90.00
_symmetry_space_group_name_H-M 'C m m m'
_symmetry_Int_Tables_number 65
_symmetry_space_group_name_Hall '-C 2 2'
loop_
_atom_site_label
_atom_site_fract_x
_atom_site_fract_y
_atom_site_fract_z
Mo1 0.0000 0.0000 0.0000
Mo2 0.0000 0.1636 0.5000
Mo3 0.0000 0.3300 0.0000
Se1 0.0000 0.5000 0.5000
# polymorph energy (0 for the lowest one): 4.7 kJ/mol of atoms
# formation energy without anion corrections: 168 meV per atom
# total DFT energy (no corrections): -9.44 eV/atom

***

# Mo9Se11 | the Alexandria database | PBE | relaxed
data_Mo9Se11
_cell_length_a 9.5648
_cell_length_b 9.5648
_cell_length_c 12.2421
_cell_angle_alpha 90.00
_cell_angle_beta 90.00
_cell_angle_gamma 120.00
_symmetry_space_group_name_H-M 'P 63/m'
_symmetry_Int_Tables_number 176
_symmetry_space_group_name_Hall '-P 6c'
loop_
_atom_site_label
_atom_site_fract_x
_atom_site_fract_y
_atom_site_fract_z
Mo1 0.1612 0.6447 0.0607
Mo2 0.1782 0.4978 0.2500
Se1 0.0071 0.6372 0.2500
Se2 0.0399 0.3346 0.0779
Se3 0.3333 0.6667 0.6035
# polymorph energy (0 for the lowest one): 0.0 kJ/mol of atoms
# formation energy without anion corrections: -501 meV per atom
# total DFT energy (no corrections): -7.29 eV/atom

***

# Mo4Se | the Alexandria database | PBE | relaxed
data_Mo4Se
_cell_length_a 7.0253
_cell_length_b 7.0253
_cell_length_c 3.1881
_cell_angle_alpha 90.00
_cell_angle_beta 90.00
_cell_angle_gamma 90.00
_symmetry_space_group_name_H-M 'I 4/m'
_symmetry_Int_Tables_number 87
_symmetry_space_group_name_Hall '-I 4'
loop_
_atom_site_label
_atom_site_fract_x
_atom_site_fract_y
_atom_site_fract_z
Mo1 0.0974 0.3000 0.0000
Se1 0.0000 0.0000 0.5000
# polymorph energy (0 for the lowest one): 0.0 kJ/mol of atoms
# formation energy without anion corrections: 153 meV per atom
# total DFT energy (no corrections): -9.21 eV/atom

***

# Mo3Se4 | the Alexandria database | PBE | relaxed
data_Mo3Se4
_cell_length_a 5.5058
_cell_length_b 5.5058
_cell_length_c 4.8645
_cell_angle_alpha 90.00
_cell_angle_beta 90.00
_cell_angle_gamma 120.00
_symmetry_space_group_name_H-M 'P 6/m m m'
_symmetry_Int_Tables_number 191
_symmetry_space_group_name_Hall '-P 6 2'
loop_
_atom_site_label
_atom_site_fract_x
_atom_site_fract_y
_atom_site_fract_z
Mo1 0.0000 0.5000 0.0000
Se1 0.0000 0.0000 0.2492
Se2 0.3333 0.6667 0.5000
# polymorph energy (0 for the lowest one): 107.7 kJ/mol of atoms
# formation energy without anion corrections: 589 meV per atom
# total DFT energy (no corrections): -6.04 eV/atom

***

# Mo5Se4 | the Alexandria database | PBE | relaxed
data_Mo5Se4
_cell_length_a 7.9244
_cell_length_b 7.9244
_cell_length_c 5.4280
_cell_angle_alpha 90.00
_cell_angle_beta 90.00
_cell_angle_gamma 120.00
_symmetry_space_group_name_H-M 'P 63/m c m'
_symmetry_Int_Tables_number 193
_symmetry_space_group_name_Hall '-P 6c 2'
loop_
_atom_site_label
_atom_site_fract_x
_atom_site_fract_y
_atom_site_fract_z
Mo1 0.0000 0.3181 0.2500
Mo2 0.3333 0.6667 0.0000
Se1 0.0000 0.0000 0.0000
Se2 0.0000 0.3695 0.7500
# polymorph energy (0 for the lowest one): 44.8 kJ/mol of atoms
# formation energy without anion corrections: 381 meV per atom
# total DFT energy (no corrections): -7.19 eV/atom

***

# Si2MoSe | the Alexandria database | PBE | relaxed
data_Si2MoSe
_cell_length_a 3.0707
_cell_length_b 3.0707
_cell_length_c 27.7566
_cell_angle_alpha 90.00
_cell_angle_beta 90.00
_cell_angle_gamma 120.00
_symmetry_space_group_name_H-M 'R 3 m'
_symmetry_Int_Tables_number 160
_symmetry_space_group_name_Hall 'R 3 -2"'
loop_
_atom_site_label
_atom_site_fract_x
_atom_site_fract_y
_atom_site_fract_z
Si1 0.0000 0.0000 0.0000
Si2 0.0000 0.0000 0.2669
Mo1 0.0000 0.0000 0.7379
Se1 0.0000 0.0000 0.4683
# formation energy without anion corrections: 131 meV per atom
# total DFT energy (no corrections): -6.16 eV/atom

***

# Si2MoSe | the Alexandria database | PBE | relaxed
data_Si2MoSe
_cell_length_a 4.4209
_cell_length_b 4.4209
_cell_length_c 3.2275
_cell_angle_alpha 90.00
_cell_angle_beta 90.00
_cell_angle_gamma 90.00
_symmetry_space_group_name_H-M 'P 4/m m m'
_symmetry_Int_Tables_number 123
_symmetry_space_group_name_Hall '-P 4 2'
loop_
_atom_site_label
_atom_site_fract_x
_atom_site_fract_y
_atom_site_fract_z
Si1 0.0000 0.5000 0.0000
Mo1 0.0000 0.0000 0.5000
Se1 0.5000 0.5000 0.5000
# formation energy without anion corrections: 452 meV per atom
# total DFT energy (no corrections): -5.84 eV/atom

***

# SiMo2Se | the Alexandria database | PBE | relaxed
data_SiMo2Se
_cell_length_a 3.0909
_cell_length_b 3.0909
_cell_length_c 23.6628
_cell_angle_alpha 90.00
_cell_angle_beta 90.00
_cell_angle_gamma 120.00
_symmetry_space_group_name_H-M 'R 3 m'
_symmetry_Int_Tables_number 160
_symmetry_space_group_name_Hall 'R 3 -2"'
loop_
_atom_site_label
_atom_site_fract_x
_atom_site_fract_y
_atom_site_fract_z
Si1 0.0000 0.0000 0.0000
Mo1 0.0000 0.0000 0.4988
Mo2 0.0000 0.0000 0.7414
Se1 0.0000 0.0000 0.2424
# polymorph energy (0 for the lowest one): 19.1 kJ/mol of atoms
# formation energy without anion corrections: 71 meV per atom
# total DFT energy (no corrections): -7.57 eV/atom

***

# SiMoSe | the Alexandria database | PBE | relaxed
data_SiMoSe
_cell_length_a 4.3595
_cell_length_b 4.3595
_cell_length_c 2.9853
_cell_angle_alpha 90.00
_cell_angle_beta 90.00
_cell_angle_gamma 120.00
_symmetry_space_group_name_H-M 'P -6 m 2'
_symmetry_Int_Tables_number 187
_symmetry_space_group_name_Hall 'P -6 2'
loop_
_atom_site_label
_atom_site_fract_x
_atom_site_fract_y
_atom_site_fract_z
Si1 0.0000 0.0000 0.0000
Mo1 0.6667 0.3333 0.5000
Se1 0.3333 0.6667 0.5000
# polymorph energy (0 for the lowest one): 58.7 kJ/mol of atoms
# formation energy without anion corrections: 286 meV per atom
# total DFT energy (no corrections): -6.29 eV/atom

***

# SiMoSe | the Alexandria database | PBE | relaxed
data_SiMoSe
_cell_length_a 3.3249
_cell_length_b 3.3249
_cell_length_c 8.4850
_cell_angle_alpha 90.00
_cell_angle_beta 90.00
_cell_angle_gamma 90.00
_symmetry_space_group_name_H-M 'I 4 m m'
_symmetry_Int_Tables_number 107
_symmetry_space_group_name_Hall 'I 4 -2'
loop_
_atom_site_label
_atom_site_fract_x
_atom_site_fract_y
_atom_site_fract_z
Si1 0.0000 0.0000 0.0000
Mo1 0.0000 0.0000 0.3534
Se1 0.0000 0.0000 0.6754
# polymorph energy (0 for the lowest one): 37.0 kJ/mol of atoms
# formation energy without anion corrections: 61 meV per atom
# total DFT energy (no corrections): -6.52 eV/atom

***

# Si3MoSe | the Alexandria database | PBE | relaxed
data_Si3MoSe
_cell_length_a 4.6203
_cell_length_b 4.6203
_cell_length_c 4.6203
_cell_angle_alpha 90.00
_cell_angle_beta 90.00
_cell_angle_gamma 90.00
_symmetry_space_group_name_H-M 'P m -3 m'
_symmetry_Int_Tables_number 221
_symmetry_space_group_name_Hall '-P 4 2 3'
loop_
_atom_site_label
_atom_site_fract_x
_atom_site_fract_y
_atom_site_fract_z
Si1 0.0000 0.0000 0.5000
Mo1 0.5000 0.5000 0.5000
Se1 0.0000 0.0000 0.0000
# formation energy without anion corrections: 1577 meV per atom
# total DFT energy (no corrections): -4.54 eV/atom

***

# SiMoSe4 | the Alexandria database | PBE | relaxed
data_SiMoSe4
_cell_length_a 7.9208
_cell_length_b 7.9208
_cell_length_c 7.9208
_cell_angle_alpha 90.00
_cell_angle_beta 90.00
_cell_angle_gamma 90.00
_symmetry_space_group_name_H-M 'F -4 3 m'
_symmetry_Int_Tables_number 216
_symmetry_space_group_name_Hall 'F -4 2 3'
loop_
_atom_site_label
_atom_site_fract_x
_atom_site_fract_y
_atom_site_fract_z
Si1 0.0000 0.0000 0.0000
Mo1 0.2500 0.2500 0.7500
Se1 0.1240 0.1240 0.3760
# formation energy without anion corrections: 1147 meV per atom
# total DFT energy (no corrections): -3.89 eV/atom